# GGA+U VO2, optimized geometry
data_VO2
_symmetry_space_group_name_H-M 'P 1'
_symmetry_Int_Tables_number 1
_symmetry_space_group_name_Hall 'P 1'
_cell_length_a 4.822
_cell_length_b 4.867
_cell_length_c 5.041
_cell_angle_alpha 90.00
_cell_angle_beta 100.46
_cell_angle_gamma 90.00
loop_
_atom_site_label
_atom_site_fract_x
_atom_site_fract_y
_atom_site_fract_z
V1 0.224 0.052 0.294
V2 0.224 0.448 0.794
V3 0.776 0.552 0.206
V4 0.776 0.948 0.706
O1 0.055 0.744 0.522
O2 0.055 0.756 0.022
O3 0.433 0.181 0.642
O4 0.433 0.319 0.142
O5 0.567 0.681 0.858
O6 0.567 0.819 0.358
O7 0.945 0.244 0.978
O8 0.945 0.256 0.478
# electronic total energy	-0.28202	hartree per atom